w | A relaxed structure of LaSbPt3, computed with PBE.

Cell: 5.221 5.221 5.221 Å, 90.00 90.00 90.00°
Positions (direct):
La 0.000 0.000 0.000
Sb 0.500 0.500 0.500
Pt 0.500 0.000 0.000
Pt 0.000 0.000 0.500
Pt 0.000 0.500 0.000

Output
SG = Pm-3m (221)
spin magnetization = 0.000 μB/cell


x | A relaxed structure of LaSbPt3, computed with PBE.

Cell: 4.637 5.415 19.939 Å, 90.00 90.00 90.00°
Positions (direct):
Sb 0.751 0.250 0.651
Sb 0.249 0.750 0.349
Sb 0.251 0.250 0.849
Sb 0.749 0.750 0.151
Pt 0.250 0.996 0.960
Pt 0.251 0.250 0.709
Pt 0.750 0.996 0.540
Pt 0.750 0.504 0.540
Pt 0.751 0.250 0.791
Pt 0.749 0.750 0.291
Pt 0.250 0.004 0.460
Pt 0.250 0.496 0.460
Pt 0.750 0.496 0.040
Pt 0.249 0.750 0.209
Pt 0.250 0.504 0.960
Pt 0.750 0.004 0.040
La 0.251 0.750 0.612
La 0.751 0.750 0.888
La 0.749 0.250 0.388
La 0.249 0.250 0.112

Output
SG = Pnma (62)
spin magnetization = 0.000 μB/cell


y | A relaxed structure of LaSbPt3, computed with PBE.

Cell: 4.994 4.994 4.994 Å, 90.00 90.00 90.00°
Positions (direct):
Pt 0.000 0.500 0.000
Pt 0.000 0.000 0.500
Pt 0.500 0.000 0.000
Sb 0.000 0.000 0.000
La 0.500 0.500 0.500

Output
SG = Pm-3m (221)
spin magnetization = 0.000 μB/cell


The structure with the most favorable energy is x; the runner-up is 387 meV/atom above it.


w | A relaxed structure of La3SbPt, computed with PBE.

Cell: 5.634 5.634 5.634 Å, 90.00 90.00 90.00°
Positions (direct):
Sb 0.500 0.500 0.500
La 0.000 0.000 0.500
La 0.000 0.500 0.000
La 0.500 0.000 0.000
Pt 0.000 0.000 0.000

Output
SG = Pm-3m (221)
spin magnetization = 0.000 μB/cell


x | A relaxed structure of La3SbPt, computed with PBE.

Cell: 4.513 8.263 17.051 Å, 90.00 90.00 90.00°
Positions (direct):
La 0.750 0.987 0.597
La 0.250 0.513 0.097
La 0.750 0.487 0.903
La 0.750 0.341 0.290
La 0.250 0.359 0.555
La 0.250 0.659 0.710
La 0.250 0.013 0.403
La 0.250 0.859 0.945
La 0.750 0.141 0.055
La 0.750 0.841 0.210
La 0.250 0.159 0.790
La 0.750 0.641 0.445
Sb 0.750 0.366 0.701
Sb 0.250 0.134 0.201
Sb 0.750 0.866 0.799
Sb 0.250 0.634 0.299
Pt 0.250 0.766 0.541
Pt 0.750 0.734 0.041
Pt 0.250 0.266 0.959
Pt 0.750 0.234 0.459

Output
SG = Pnma (62)
spin magnetization = 0.000 μB/cell


The structure with the most favorable energy is x; the runner-up is 309 meV/atom above it.


w | A relaxed structure of LaSbTe2Pt, computed with PBE.

Cell: 5.445 5.445 5.133 Å, 90.00 90.00 90.00°
Positions (direct):
Pt 0.000 0.000 0.000
Te 0.500 0.000 0.000
Te 0.000 0.500 0.000
Sb 0.000 0.000 0.500
La 0.500 0.500 0.500

Output
SG = P4/mmm (123)
spin magnetization = 0.000 μB/cell


x | A relaxed structure of LaSbTe2Pt, computed with PBE.

Cell: 6.001 6.001 6.135 Å, 90.00 90.00 90.00°
Positions (direct):
Te 0.500 0.000 0.000
Te 0.000 0.500 0.000
La 0.000 0.000 0.000
Sb 0.000 0.000 0.500
Pt 0.500 0.500 0.500

Output
SG = P4/mmm (123)
spin magnetization = 0.000 μB/cell


The structure with the most favorable energy is w; the runner-up is 1298 meV/atom above it.